Below is a geometry-optimized Li2Ca4Ag5 structure, with properties calculated at the PBE level. Values from VASP.

Values from the calculation:
**Mass density**: 4.51 g/cm3
**Formation energy from the elements**: -0.2317 eV per atom
**SG**: No. 72

Quantum ESPRESSO input file:
```
&SYSTEM
  ibrav = 0, nat = 22, ntyp = 3
/
ATOMIC_SPECIES
Li 6.94 Li.upf
Ca 40.08 Ca.upf
Ag 107.87 Ag.upf
CELL_PARAMETERS angstrom
-4.776 9.663 2.849
4.776 -9.663 2.849
4.776 9.663 -2.849
ATOMIC_POSITIONS crystal
Li 0.055 0.250 0.805
Li 0.445 0.250 0.195
Li 0.555 0.750 0.805
Li 0.945 0.750 0.195
Ca 0.063 0.232 0.295
Ca 0.150 0.621 0.771
Ca 0.350 0.121 0.472
Ca 0.437 0.732 0.169
Ca 0.563 0.268 0.831
Ca 0.650 0.879 0.528
Ca 0.850 0.379 0.229
Ca 0.937 0.768 0.705
Ag 0.076 0.920 0.996
Ag 0.220 0.305 0.525
Ag 0.250 0.750 0.500
Ag 0.280 0.805 0.085
Ag 0.424 0.420 0.845
Ag 0.576 0.580 0.155
Ag 0.720 0.195 0.915
Ag 0.750 0.250 0.500
Ag 0.780 0.695 0.475
Ag 0.924 0.080 0.004
```